# 1
Compound: Er4Te
Source: the Alexandria database
Functional: PBE
Structure: optimized geometry

Results
Raw formation energy   -441 meV/atom
Fermi-level density of states   9.0 states/eV per cell
Polymorph energy (0 for the lowest one)   0.000 eV per atom

Cell lengths 6.4555, 6.4555, 7.2236 Å; angles 90.00, 90.00, 90.00 degrees
Last column: nearest neighbours and their distance in Å.
Space group P-42_1c (No. 114)
Symmetry-distinct sites (fractional):
Er (0.1335, 0.2526, 0.3439) x8  2 Te 3.07-3.09
Te (0.0000, 0.0000, 0.0000) x2  8 Er 3.07-3.09



# 2
Compound: ErTe
Source: the Alexandria database
Functional: PBE
Structure: optimized geometry

Results
Raw formation energy   -1098 meV/atom
Fermi-level density of states   1.3 states/eV per cell

Cell lengths 3.7546, 3.7546, 3.7546 Å; angles 90.00, 90.00, 90.00 degrees
Last column: nearest neighbours and their distance in Å.
Space group Pm-3m (No. 221)
Symmetry-distinct sites (fractional):
Er (0.0000, 0.0000, 0.0000) x1  8 Te 3.25
Te (0.5000, 0.5000, 0.5000) x1  8 Er 3.25



# 3
Compound: ErTe
Source: the Alexandria database
Functional: PBE
Structure: optimized geometry

Results
Raw formation energy   -1206 meV/atom
Fermi-level density of states   6.1 states/eV per cell

Cell lengths 6.1068, 6.1068, 6.1068 Å; angles 90.00, 90.00, 90.00 degrees
Last column: nearest neighbours and their distance in Å.
Space group Fm-3m (No. 225)
Symmetry-distinct sites (fractional):
Er (0.0000, 0.0000, 0.0000) x4  6 Te 3.05
Te (0.0000, 0.0000, 0.5000) x4  6 Er 3.05



# 4
Compound: ErTe
Source: the Alexandria database
Functional: PBE
Structure: optimized geometry

Results
Raw formation energy   -1237 meV/atom
Fermi-level density of states   2.0 states/eV per cell

Cell lengths 4.2030, 4.2030, 6.4044 Å; angles 90.00, 90.00, 90.00 degrees
Last column: nearest neighbours and their distance in Å.
Space group P4/nmm (No. 129, origin choice 2)
Symmetry-distinct sites (fractional):
Er (0.2500, 0.2500, 0.1840) x2  6 Te 3.06-3.34
Te (0.2500, 0.2500, 0.7048) x2  6 Er 3.06-3.34



# 5
Compound: Er3Te4
Source: the Alexandria database
Functional: PBE
Structure: optimized geometry

Results
Raw formation energy   -1323 meV/atom
Fermi-level density of states   6.4 states/eV per cell

Cell lengths 6.1028, 6.1028, 12.0251 Å; angles 90.00, 90.00, 90.00 degrees
Last column: nearest neighbours and their distance in Å.
Space group I4/mmm (No. 139)
Symmetry-distinct sites (fractional):
Er (0.0000, 0.0000, 0.0000) x2  6 Te 3.05-3.09
Er (0.0000, 0.5000, 0.2500) x4  6 Te 3.01-3.05
Te (0.0000, 0.0000, 0.2568) x4  5 Er 3.05-3.09
Te (0.0000, 0.5000, 0.0000) x4  4 Er 3.01-3.05



# 6
Compound: Er5Te8
Source: the Alexandria database
Functional: PBE
Structure: optimized geometry

Results
Raw formation energy   -1284 meV/atom
Fermi-level density of states   8.8 states/eV per cell

Cell lengths 14.4216, 8.6079, 10.2705 Å; angles 90.00, 133.57, 90.00 degrees
Last column: nearest neighbours and their distance in Å.
Space group C2/m (No. 12)
Symmetry-distinct sites (fractional):
Er (0.0000, 0.0000, 0.0000) x2  6 Te 3.05-3.06
Er (0.0000, 0.2614, 0.5000) x4  6 Te 3.01-3.09
Er (0.2325, 0.5000, 0.9911) x4  6 Te 2.98-3.13
Te (0.0282, 0.0000, 0.3235) x4  4 Er 3.06-3.13
Te (0.0468, 0.5000, 0.3361) x4  3 Er 2.98-3.01
Te (0.2098, 0.2429, 0.1709) x8  4 Er 3.04-3.12